# LiErLu (PBE-GGA, relaxed)
data_LiErLu
_chemical_formula_sum 'Li1 Er1 Lu1'
_symmetry_space_group_name_H-M 'P 1'
_symmetry_Int_Tables_number 1
_cell_length_a 3.580
_cell_length_b 3.580
_cell_length_c 6.665
_cell_angle_alpha 105.58
_cell_angle_beta 105.58
_cell_angle_gamma 90.00
loop_
_symmetry_equiv_pos_as_xyz
'x,y,z'
loop_
_atom_site_label
_atom_site_type_symbol
_atom_site_fract_x
_atom_site_fract_y
_atom_site_fract_z
_atom_site_occupancy
Li1 Li 0.665 0.665 0.330 1
Lu1 Lu 0.013 0.013 0.025 1
Er1 Er 0.322 0.322 0.645 1
# Calculated volume (Å³/cell): 79.03
# Symmetry: I4mm, No. 107
# E above lowest polymorph (meV/atom): 0
# Mass density (Mg/m³): 7.34
# Formation enthalpy at 0 K (eV per atom): 0.10
# DOS(E_F) (states/eV/atom): 1.483